[1]
Crystalline Pr5Sm3Dy3 at its relaxed geometry, computed with PBE.

abc: 3.474 11.423 11.423
angles: 120.00 90.00 90.00
Atoms (fractional coordinates):
Pr1 0.500 0.667 0.333
Pr2 0.500 0.333 0.667
Pr3 0.500 0.338 0.000
Pr4 0.500 0.662 0.662
Pr5 0.500 0.000 0.338
Sm1 0.000 0.597 0.000
Sm2 0.000 0.000 0.597
Sm3 0.000 0.403 0.403
Dy1 0.500 0.841 0.000
Dy2 0.500 0.159 0.159
Dy3 0.500 0.000 0.841


[2]
Crystalline Pr3SmDy12 at its relaxed geometry, computed with PBE.

abc: 5.061 5.061 20.247
angles: 90.00 90.00 90.00
Atoms (fractional coordinates):
Pr1 0.000 0.000 0.249
Pr2 0.000 0.000 0.500
Pr3 0.000 0.000 0.751
Sm1 0.000 0.000 0.000
Dy1 0.500 0.500 0.000
Dy2 0.500 0.500 0.249
Dy3 0.500 0.500 0.500
Dy4 0.500 0.500 0.751
Dy5 0.500 0.000 0.124
Dy6 0.500 0.000 0.375
Dy7 0.500 0.000 0.625
Dy8 0.500 0.000 0.876
Dy9 0.000 0.500 0.124
Dy10 0.000 0.500 0.375
Dy11 0.000 0.500 0.625
Dy12 0.000 0.500 0.876


[3]
Crystalline Pr3Sm2Dy6 at its relaxed geometry, computed with PBE.

abc: 6.210 6.224 11.699
angles: 84.85 79.64 60.07
Atoms (fractional coordinates):
Pr1 0.000 0.000 0.000
Pr2 0.336 0.328 0.000
Pr3 0.664 0.672 0.000
Sm1 0.166 0.668 0.500
Sm2 0.834 0.332 0.500
Dy1 0.418 0.667 0.747
Dy2 0.750 0.000 0.748
Dy3 0.085 0.333 0.747
Dy4 0.250 0.000 0.252
Dy5 0.582 0.333 0.253
Dy6 0.915 0.667 0.253


[4]
Crystalline Pr4Sm6Dy at its relaxed geometry, computed with PBE.

abc: 9.777 9.777 9.777
angles: 58.79 139.38 139.38
Atoms (fractional coordinates):
Pr1 0.000 0.633 0.013
Pr2 0.380 0.367 0.367
Pr3 0.000 0.013 0.633
Pr4 0.620 0.987 0.987
Sm1 0.000 0.796 0.446
Sm2 0.000 0.446 0.796
Sm3 0.350 0.554 0.554
Sm4 0.500 0.500 0.000
Sm5 0.650 0.204 0.204
Sm6 0.500 0.000 0.500
Dy1 0.000 0.000 0.000


[5]
Crystalline Pr8Sm3Dy2 at its relaxed geometry, computed with PBE.

abc: 5.855 11.186 9.284
angles: 127.04 74.92 90.00
Atoms (fractional coordinates):
Pr1 0.740 0.423 0.846
Pr2 0.260 0.577 0.154
Pr3 0.122 0.837 0.674
Pr4 0.878 0.163 0.326
Pr5 0.335 0.941 0.340
Pr6 0.335 0.399 0.340
Pr7 0.665 0.601 0.660
Pr8 0.665 0.059 0.660
Sm1 0.500 0.000 0.000
Sm2 0.000 0.251 0.000
Sm3 0.000 0.749 0.000
Dy1 0.694 0.672 0.345
Dy2 0.306 0.328 0.655


[6]
Crystalline PrSmDy3 at its relaxed geometry, computed with PBE.

abc: 6.535 11.678 6.549
angles: 124.36 119.82 89.43
Atoms (fractional coordinates):
Pr1 0.000 0.500 0.000
Pr2 0.000 0.000 0.000
Sm1 0.295 0.810 0.751
Sm2 0.705 0.190 0.249
Dy1 0.694 0.546 0.393
Dy2 0.551 0.188 0.675
Dy3 0.306 0.454 0.607
Dy4 0.131 0.187 0.827
Dy5 0.449 0.812 0.325
Dy6 0.869 0.813 0.173


[7]
Crystalline Pr5Sm4Dy4 at its relaxed geometry, computed with PBE.

abc: 5.122 9.636 9.636
angles: 85.95 74.59 74.59
Atoms (fractional coordinates):
Pr1 0.696 0.842 0.767
Pr2 0.304 0.158 0.233
Pr3 0.000 0.000 0.000
Pr4 0.538 0.767 0.158
Pr5 0.462 0.233 0.842
Sm1 0.767 0.387 0.078
Sm2 0.233 0.613 0.922
Sm3 0.845 0.922 0.387
Sm4 0.155 0.078 0.613
Dy1 0.925 0.462 0.688
Dy2 0.613 0.312 0.462
Dy3 0.075 0.538 0.312
Dy4 0.387 0.688 0.538


[8]
Crystalline Pr5Sm2Dy2 at its relaxed geometry, computed with PBE.

abc: 11.938 6.918 10.260
angles: 109.70 125.57 90.00
Atoms (fractional coordinates):
Pr1 0.182 0.664 0.900
Pr2 0.818 0.764 0.100
Pr3 0.218 0.164 0.900
Pr4 0.782 0.264 0.100
Pr5 0.372 0.026 0.289
Pr6 0.628 0.737 0.711
Pr7 0.417 0.526 0.289
Pr8 0.583 0.237 0.711
Pr9 0.010 0.649 0.500
Pr10 0.990 0.149 0.500
Sm1 0.000 0.066 0.000
Sm2 0.500 0.566 0.000
Sm3 0.254 0.345 0.500
Sm4 0.746 0.845 0.500
Dy1 0.137 0.672 0.258
Dy2 0.863 0.414 0.742
Dy3 0.621 0.172 0.258
Dy4 0.379 0.914 0.742


[9]
Crystalline Pr3Sm4Dy5 at its relaxed geometry, computed with PBE.

abc: 7.224 11.427 13.028
angles: 151.30 56.42 129.20
Atoms (fractional coordinates):
Pr1 0.583 0.165 0.332
Pr2 0.000 0.000 0.500
Pr3 0.417 0.835 0.668
Sm1 0.918 0.836 0.669
Sm2 0.831 0.663 0.833
Sm3 0.169 0.337 0.167
Sm4 0.082 0.164 0.331
Dy1 0.331 0.667 0.835
Dy2 0.500 0.000 0.500
Dy3 0.750 0.501 0.001
Dy4 0.250 0.499 0.999
Dy5 0.669 0.333 0.165


[10]
Crystalline Pr7SmDy12 at its relaxed geometry, computed with PBE.

abc: 8.838 8.838 8.838
angles: 86.08 86.08 86.08
Atoms (fractional coordinates):
Pr1 0.844 0.601 0.921
Pr2 0.399 0.079 0.156
Pr3 0.079 0.156 0.399
Pr4 0.500 0.500 0.500
Pr5 0.921 0.844 0.601
Pr6 0.601 0.921 0.844
Pr7 0.156 0.399 0.079
Sm1 0.000 0.000 0.000
Dy1 0.854 0.253 0.725
Dy2 0.747 0.275 0.146
Dy3 0.617 0.134 0.496
Dy4 0.866 0.504 0.383
Dy5 0.275 0.146 0.747
Dy6 0.504 0.383 0.866
Dy7 0.496 0.617 0.134
Dy8 0.725 0.854 0.253
Dy9 0.134 0.496 0.617
Dy10 0.383 0.866 0.504
Dy11 0.253 0.725 0.854
Dy12 0.146 0.747 0.275


no.,DFT formation energy (eV/f.u.)
1,3.34
2,0.33
3,2.13
4,3.08
5,2.20
6,0.89
7,0.22
8,1.87
9,0.19
10,4.54